A plane-wave DFT calculation with PBE was carried out for an optimized crystal structure of Gd3Pb5Se12.

Summary:
- total magnetic moment (μB per cell) = 166.19
- energy (eV per atom) = -5.919
- energy relative to the elements, uncorrected (eV per atom) = -0.7895

a b c (Å): 17.082 17.082 17.082
angles (deg): 90.00 90.00 90.00
Space group Ia-3d (No. 230)
Unique sites:
1 Gd 0.000 0.250 0.125 x24
2 Pb 0.000 0.000 0.000 x16
3 Pb 0.000 0.250 0.375 x24
4 Se 0.014 0.072 0.657 x96

---

A plane-wave DFT calculation with PBE was carried out for an optimized crystal structure of Sc3TlPd.

Summary:
- energy relative to the elements (eV per atom) = 0.62
- total magnetic moment (μB per cell) = 0.00
- polymorph energy (0 for the lowest one) (meV/atom) = 952
- energy (eV per atom) = -4.695

a b c (Å): 5.286 5.286 5.286
angles (deg): 90.00 90.00 90.00
Space group Pm-3m (No. 221)
Unique sites:
1 Sc 0.000 0.000 0.500 x3
2 Tl 0.000 0.000 0.000 x1
3 Pd 0.500 0.500 0.500 x1

---

A plane-wave DFT calculation with PBE was carried out for an optimized crystal structure of BaPtRh.

Summary:
- energy relative to the elements (eV per atom) = -0.12
- total magnetic moment (μB per cell) = 0.00
- polymorph energy (0 for the lowest one) (meV/atom) = 335
- energy (eV per atom) = -5.226

a b c (Å): 3.658 3.658 10.842
angles (deg): 90.00 90.00 90.00
Space group I4mm (No. 107)
Unique sites:
1 Ba 0.000 0.000 0.000 x2
2 Pt 0.000 0.000 0.717 x2
3 Rh 0.000 0.000 0.274 x2

---

A plane-wave DFT calculation with PBE was carried out for an optimized crystal structure of Lu2HN.

Summary:
- total magnetic moment (μB per cell) = 0.00
- energy (eV per atom) = -6.216

a b c (Å): 3.3952 3.3952 16.4101
angles (deg): 90.00 90.00 120.00
Space group R-3m (No. 166, hexagonal axes)
Unique sites:
1 Lu 0.0000 0.0000 0.2438 x6
2 H 0.0000 0.0000 0.0000 x3
3 N 0.0000 0.0000 0.5000 x3

---

A plane-wave DFT calculation with PBE was carried out for an optimized crystal structure of ErPuMgIn.

Summary:
- energy relative to the elements (eV per atom) = -0.12
- total magnetic moment (μB per cell) = 25.05
- energy (eV per atom) = -5.923

a b c (Å): 7.524 7.524 7.524
angles (deg): 90.00 90.00 90.00
Space group F-43m (No. 216)
Unique sites:
1 Er 0.000 0.000 0.000 x4
2 Pu 0.000 0.000 0.500 x4
3 Mg 0.250 0.250 0.750 x4
4 In 0.250 0.250 0.250 x4

---

A plane-wave DFT calculation with PBE was carried out for an optimized crystal structure of Nd2Y2Hg3.

Summary:
- energy relative to the elements (eV per atom) = -0.33
- total magnetic moment (μB per cell) = 1.76
- energy (eV per atom) = -3.672

a b c (Å): 9.074 5.258 9.127
angles (deg): 90.00 109.22 90.00
Space group C2/m (No. 12)
Unique sites:
1 Nd 0.128 0.000 0.383 x4
2 Y 0.122 0.500 0.867 x4
3 Hg 0.000 0.000 0.000 x2
4 Hg 0.248 0.500 0.242 x4